# Nd8C3Cl3O, optimized geometry, DFT PBE
# Energy = -6.23 eV per atom
data_Nd8C3Cl3O
_chemical_formula_sum 'Nd16 C6 Cl6 O2'
_symmetry_space_group_name_H-M 'C 1 2/m 1'
_symmetry_Int_Tables_number 12
_symmetry_space_group_name_Hall '-C 2y'
_cell_length_a 13.091
_cell_length_b 7.543
_cell_length_c 8.179
_cell_angle_alpha 90.00
_cell_angle_beta 122.30
_cell_angle_gamma 90.00
loop_
_atom_site_label
_atom_site_fract_x
_atom_site_fract_y
_atom_site_fract_z
Nd1 0.018 0.245 0.301
Nd2 0.233 0.000 0.699
Nd3 0.236 0.500 0.699
C1 0.000 0.000 0.500
C2 0.250 0.250 0.500
Cl1 0.000 0.500 0.000
Cl2 0.250 0.250 0.000
O1 0.000 0.500 0.500